#P
Material: La4InRe
Method: DFT, GGA-PBE
State: optimized geometry

Structure (CIF):
```
data_La4InRe
_chemical_formula_sum 'La16 In4 Re4'
_cell_length_a 8.842
_cell_length_b 8.842
_cell_length_c 8.842
_cell_angle_alpha 90.00
_cell_angle_beta 90.00
_cell_angle_gamma 90.00
_symmetry_space_group_name_H-M 'F -4 3 m'
_symmetry_Int_Tables_number 216
_symmetry_space_group_name_Hall 'F -4 2 3'
loop_
_atom_site_label
_atom_site_type_symbol
_atom_site_fract_x
_atom_site_fract_y
_atom_site_fract_z
_atom_site_occupancy
La1 La 0.123 0.123 0.123 1
In1 In 0.000 0.000 0.500 1
Re1 Re 0.250 0.250 0.750 1
```

Properties
crystal system	cubic

#Q
Material: La4InRe
Method: DFT, GGA-PBE
State: optimized geometry

Structure (CIF):
```
data_La4InRe
_chemical_formula_sum 'La16 In4 Re4'
_cell_length_a 9.113
_cell_length_b 14.053
_cell_length_c 6.348
_cell_angle_alpha 90.00
_cell_angle_beta 110.24
_cell_angle_gamma 90.00
_symmetry_space_group_name_H-M 'C 1 2/c 1'
_symmetry_Int_Tables_number 15
loop_
_symmetry_equiv_pos_as_xyz
'x,y,z'
'-x,-y,-z'
'-x,y,-z+1/2'
'x,-y,z+1/2'
'x+1/2,y+1/2,z'
'-x+1/2,-y+1/2,-z'
'-x+1/2,y+1/2,-z+1/2'
'x+1/2,-y+1/2,z+1/2'
loop_
_atom_site_label
_atom_site_type_symbol
_atom_site_fract_x
_atom_site_fract_y
_atom_site_fract_z
_atom_site_occupancy
La1 La 0.111 0.168 0.056 1
La2 La 0.220 0.425 0.369 1
In1 In 0.000 0.377 0.750 1
Re1 Re 0.000 0.001 0.750 1
```

Properties
crystal system	monoclinic

Taking the most stable structure as the zero point, the relative energies in eV/atom are #P 0.949; #Q 0.000.

#P
Material: SrLa2InRe
Method: DFT, GGA-PBE
State: optimized geometry

Structure (CIF):
```
data_SrLa2InRe
_chemical_formula_sum 'Sr1 La2 In1 Re1'
_cell_length_a 5.497
_cell_length_b 5.497
_cell_length_c 5.541
_cell_angle_alpha 90.00
_cell_angle_beta 90.00
_cell_angle_gamma 90.00
_symmetry_space_group_name_H-M 'P 4/m m m'
_symmetry_Int_Tables_number 123
_symmetry_space_group_name_Hall '-P 4 2'
loop_
_atom_site_label
_atom_site_type_symbol
_atom_site_fract_x
_atom_site_fract_y
_atom_site_fract_z
_atom_site_occupancy
Sr1 Sr 0.000 0.000 0.000 1
La1 La 0.000 0.500 0.500 1
In1 In 0.500 0.500 0.000 1
Re1 Re 0.500 0.500 0.500 1
```

Properties
crystal system	tetragonal

#Q
Material: SrLa2InRe
Method: DFT, GGA-PBE
State: optimized geometry

Structure (CIF):
```
data_SrLa2InRe
_chemical_formula_sum 'Sr1 La2 In1 Re1'
_cell_length_a 5.964
_cell_length_b 5.964
_cell_length_c 5.985
_cell_angle_alpha 90.00
_cell_angle_beta 90.00
_cell_angle_gamma 90.00
_symmetry_space_group_name_H-M 'P 4/m m m'
_symmetry_Int_Tables_number 123
_symmetry_space_group_name_Hall '-P 4 2'
loop_
_atom_site_label
_atom_site_type_symbol
_atom_site_fract_x
_atom_site_fract_y
_atom_site_fract_z
_atom_site_occupancy
Sr1 Sr 0.000 0.000 0.000 1
La1 La 0.000 0.500 0.500 1
In1 In 0.000 0.000 0.500 1
Re1 Re 0.500 0.500 0.000 1
```

Properties
crystal system	tetragonal

Taking the most stable structure as the zero point, the relative energies in eV/atom are #P 0.000; #Q 1.264.

#P
Material: LaIn3Rh
Method: DFT, GGA-PBE
State: optimized geometry

Structure (CIF):
```
data_LaIn3Rh
_chemical_formula_sum 'La4 In12 Rh4'
_cell_length_a 7.194
_cell_length_b 10.236
_cell_length_c 7.258
_cell_angle_alpha 90.00
_cell_angle_beta 90.00
_cell_angle_gamma 90.00
_symmetry_space_group_name_H-M 'P n m a'
_symmetry_Int_Tables_number 62
loop_
_symmetry_equiv_pos_as_xyz
'x,y,z'
'-x,-y,-z'
'-x+1/2,-y,z+1/2'
'x+1/2,y,-z+1/2'
'x+1/2,-y+1/2,-z+1/2'
'-x+1/2,y+1/2,z+1/2'
'-x,y+1/2,-z'
'x,-y+1/2,z'
loop_
_atom_site_label
_atom_site_type_symbol
_atom_site_fract_x
_atom_site_fract_y
_atom_site_fract_z
_atom_site_occupancy
La1 La 0.002 0.250 0.018 1
In1 In 0.003 0.250 0.515 1
In2 In 0.247 0.007 0.753 1
Rh1 Rh 0.000 0.000 0.500 1
```

Properties
crystal system	orthorhombic

#Q
Material: LaIn3Rh
Method: DFT, GGA-PBE
State: optimized geometry

Structure (CIF):
```
data_LaIn3Rh
_chemical_formula_sum 'La1 In3 Rh1'
_cell_length_a 5.929
_cell_length_b 5.929
_cell_length_c 5.929
_cell_angle_alpha 90.00
_cell_angle_beta 90.00
_cell_angle_gamma 90.00
_symmetry_space_group_name_H-M 'P m -3 m'
_symmetry_Int_Tables_number 221
_symmetry_space_group_name_Hall '-P 4 2 3'
loop_
_atom_site_label
_atom_site_type_symbol
_atom_site_fract_x
_atom_site_fract_y
_atom_site_fract_z
_atom_site_occupancy
La1 La 0.000 0.000 0.000 1
In1 In 0.000 0.000 0.500 1
Rh1 Rh 0.500 0.500 0.500 1
```

Properties
crystal system	cubic

#R
Material: LaIn3Rh
Method: DFT, GGA-PBE
State: optimized geometry

Structure (CIF):
```
data_LaIn3Rh
_chemical_formula_sum 'La4 In12 Rh4'
_cell_length_a 9.190
_cell_length_b 4.525
_cell_length_c 11.732
_cell_angle_alpha 90.00
_cell_angle_beta 90.00
_cell_angle_gamma 90.00
_symmetry_space_group_name_H-M 'P n m a'
_symmetry_Int_Tables_number 62
loop_
_symmetry_equiv_pos_as_xyz
'x,y,z'
'-x,-y,-z'
'-x+1/2,-y,z+1/2'
'x+1/2,y,-z+1/2'
'x+1/2,-y+1/2,-z+1/2'
'-x+1/2,y+1/2,z+1/2'
'-x,y+1/2,-z'
'x,-y+1/2,z'
loop_
_atom_site_label
_atom_site_type_symbol
_atom_site_fract_x
_atom_site_fract_y
_atom_site_fract_z
_atom_site_occupancy
La1 La 0.202 0.250 0.007 1
In1 In 0.054 0.250 0.587 1
In2 In 0.102 0.750 0.795 1
In3 In 0.148 0.750 0.212 1
Rh1 Rh 0.118 0.250 0.357 1
```

Properties
crystal system	orthorhombic

Taking the most stable structure as the zero point, the relative energies in eV/atom are #P 0.193; #Q 1.913; #R 0.000.

#P
Material: LaInRh3
Method: DFT, GGA-PBE
State: optimized geometry

Structure (CIF):
```
data_LaInRh3
_chemical_formula_sum 'La1 In1 Rh3'
_cell_length_a 4.881
_cell_length_b 4.881
_cell_length_c 4.881
_cell_angle_alpha 90.00
_cell_angle_beta 90.00
_cell_angle_gamma 90.00
_symmetry_space_group_name_H-M 'P m -3 m'
_symmetry_Int_Tables_number 221
_symmetry_space_group_name_Hall '-P 4 2 3'
loop_
_atom_site_label
_atom_site_type_symbol
_atom_site_fract_x
_atom_site_fract_y
_atom_site_fract_z
_atom_site_occupancy
La1 La 0.000 0.000 0.000 1
In1 In 0.500 0.500 0.500 1
Rh1 Rh 0.000 0.500 0.500 1
```

Properties
crystal system	cubic

#Q
Material: LaInRh3
Method: DFT, GGA-PBE
State: optimized geometry

Structure (CIF):
```
data_LaInRh3
_chemical_formula_sum 'La1 In1 Rh3'
_cell_length_a 4.942
_cell_length_b 4.942
_cell_length_c 4.942
_cell_angle_alpha 90.00
_cell_angle_beta 90.00
_cell_angle_gamma 90.00
_symmetry_space_group_name_H-M 'P m -3 m'
_symmetry_Int_Tables_number 221
_symmetry_space_group_name_Hall '-P 4 2 3'
loop_
_atom_site_label
_atom_site_type_symbol
_atom_site_fract_x
_atom_site_fract_y
_atom_site_fract_z
_atom_site_occupancy
La1 La 0.000 0.000 0.000 1
In1 In 0.500 0.500 0.500 1
Rh1 Rh 0.000 0.000 0.500 1
```

Properties
crystal system	cubic

Taking the most stable structure as the zero point, the relative energies in eV/atom are #P 0.000; #Q 0.529.

#P
Material: LaIn3Rh2
Method: DFT, GGA-PBE
State: optimized geometry

Structure (CIF):
```
data_LaIn3Rh2
_chemical_formula_sum 'La6 In18 Rh12'
_cell_length_a 6.7876
_cell_length_b 6.7876
_cell_length_c 20.1378
_cell_angle_alpha 90.00
_cell_angle_beta 90.00
_cell_angle_gamma 120.00
_symmetry_space_group_name_H-M 'R -3 m'
_symmetry_Int_Tables_number 166
_symmetry_space_group_name_Hall '-R 3 2"'
loop_
_atom_site_label
_atom_site_type_symbol
_atom_site_fract_x
_atom_site_fract_y
_atom_site_fract_z
_atom_site_occupancy
La1 La 0.0000 0.0000 0.2364 1
In1 In 0.0046 0.5023 0.2352 1
Rh1 Rh 0.0000 0.0000 0.0000 1
Rh2 Rh 0.0000 0.5000 0.0000 1
```

Properties
crystal system	trigonal

#Q
Material: LaIn3Rh2
Method: DFT, GGA-PBE
State: optimized geometry

Structure (CIF):
```
data_LaIn3Rh2
_chemical_formula_sum 'La6 In18 Rh12'
_cell_length_a 18.446
_cell_length_b 4.310
_cell_length_c 10.868
_cell_angle_alpha 90.00
_cell_angle_beta 110.45
_cell_angle_gamma 90.00
_symmetry_space_group_name_H-M 'C 1 2/m 1'
_symmetry_Int_Tables_number 12
loop_
_symmetry_equiv_pos_as_xyz
'x,y,z'
'-x,-y,-z'
'-x,y,-z'
'x,-y,z'
'x+1/2,y+1/2,z'
'-x+1/2,-y+1/2,-z'
'-x+1/2,y+1/2,-z'
'x+1/2,-y+1/2,z'
loop_
_atom_site_label
_atom_site_type_symbol
_atom_site_fract_x
_atom_site_fract_y
_atom_site_fract_z
_atom_site_occupancy
La1 La 0.000 0.000 0.000 1
La2 La 0.164 0.000 0.696 1
In1 In 0.000 0.500 0.500 1
In2 In 0.039 0.000 0.339 1
In3 In 0.131 0.500 0.198 1
In4 In 0.173 0.500 0.957 1
In5 In 0.216 0.000 0.397 1
Rh1 Rh 0.020 0.500 0.809 1
Rh2 Rh 0.132 0.500 0.451 1
Rh3 Rh 0.208 0.000 0.137 1
```

Properties
crystal system	monoclinic

Taking the most stable structure as the zero point, the relative energies in eV/atom are #P 0.137; #Q 0.000.